(1)
## TbEr5Th4 (PBE)

Data for an optimized crystal structure of TbEr5Th4.

```
TbEr5Th4
1.0
6.692 0.000 0.000
0.000 11.676 0.000
0.000 0.000 8.535
Tb Er Th
2 10 8
Direct
0.250 0.250 0.042
0.750 0.750 0.958
0.009 0.033 0.315
0.009 0.467 0.315
0.250 0.750 0.707
0.491 0.033 0.315
0.491 0.467 0.315
0.509 0.533 0.685
0.509 0.967 0.685
0.750 0.250 0.293
0.991 0.533 0.685
0.991 0.967 0.685
0.002 0.750 0.360
0.250 0.604 0.032
0.250 0.896 0.032
0.498 0.750 0.360
0.502 0.250 0.640
0.750 0.104 0.968
0.750 0.396 0.968
0.998 0.250 0.640
```

Properties
VASP energy ... -5.32 eV/atom
Energy of formation from the pure elements ... 0.395 eV/atom
Theoretical density ... 9577 kg/m³

***

(2)
## MnCu2Te (PBE)

Data for an optimized crystal structure of MnCu2Te.

```
MnCu2Te
1.0
0.000 3.156 3.156
3.156 0.000 3.156
3.156 3.156 0.000
Mn Cu Te
1 2 1
Direct
0.000 0.000 0.000
0.500 0.500 0.500
0.750 0.750 0.750
0.250 0.250 0.250
```

Properties
VASP energy ... -4.79 eV/atom
E_form (uncorrected) ... 0.339 eV/atom
Theoretical density ... 8174 kg/m³

***

(3)
## Ac3Ge4Rh7 (PBE)

Data for an optimized crystal structure of Ac3Ge4Rh7.

```
Ac3Ge4Rh7
1.0
8.062 -2.113 0.000
8.062 2.113 0.000
-5.854 0.000 7.942
Ac Ge Rh
3 4 7
Direct
0.000 0.000 0.000
0.331 0.331 0.337
0.669 0.669 0.663
0.117 0.117 0.842
0.336 0.336 0.711
0.664 0.664 0.289
0.883 0.883 0.158
0.000 0.000 0.500
0.161 0.161 0.422
0.306 0.306 0.953
0.497 0.497 0.728
0.503 0.503 0.272
0.694 0.694 0.047
0.839 0.839 0.578
```

Properties
VASP energy ... -6.59 eV/atom
Energy of formation from the pure elements ... -0.714 eV/atom
Theoretical density ... 10382 kg/m³

***

(4)
## NdTl2Sn (PBE)

Data for an optimized crystal structure of NdTl2Sn.

```
NdTl2Sn
1.0
1.792 1.035 11.541
-1.792 1.035 11.541
0.000 -2.069 11.541
Nd Tl Sn
1 2 1
Direct
0.000 0.000 0.000
0.093 0.093 0.093
0.907 0.907 0.907
0.500 0.500 0.500
```

Properties
VASP energy ... -3.29 eV/atom
Relative energy among the computed polymorphs ... 467 meV per atom
Energy of formation from the pure elements ... 0.085 eV/atom
Theoretical density ... 8690 kg/m³

***

(5)
## Pr5Nd5Tm (PBE)

Data for an optimized crystal structure of Pr5Nd5Tm.

```
Pr5Nd5Tm
1.0
9.654 -3.097 0.000
9.654 3.097 0.000
-2.569 0.000 6.608
Pr Nd Tm
5 5 1
Direct
0.000 0.000 0.000
0.326 0.326 0.070
0.326 0.326 0.582
0.674 0.674 0.418
0.674 0.674 0.930
0.126 0.126 0.628
0.170 0.170 0.172
0.500 0.500 0.500
0.830 0.830 0.828
0.874 0.874 0.372
0.500 0.500 0.000
```

Properties
VASP energy ... -4.52 eV/atom
Energy of formation from the pure elements ... 0.231 eV/atom
Theoretical density ... 6701 kg/m³

***

no.,spin magnetization (μB per formula unit)
1,0.0
2,3.1
3,0.0
4,0.0
5,0.0